Here is Li3V2P4H2O16 after structural relaxation from Alexandria. Energies are from PBE+U.

Output
* energy above the lowest structure with this stoichiometry: 0.003 eV/atom
* calculated density: 2.91 g/cm3
* crystal system: triclinic
* magnetization: 0.11 μB per atom
* electronic total energy: -6.868 eV/atom

a b c (Å): 12.6032 9.4679 7.5683
angles (deg): 97.67 101.03 98.47
With the nearest neighbours (Å) after each atom.
Positions (direct):
Li (0.1727, 0.0381, 0.8444)  4 O 1.96-2.05
Li (0.1580, 0.2921, 0.1555)  4 O 1.96-2.05
Li (0.4239, 0.0594, 0.3542)  5 O 1.98-2.16
Li (0.2372, 0.6106, 0.6442)  5 O 1.98-2.22
Li (0.5078, 0.3815, 0.8540)  4 O 1.96-2.10
Li (0.7611, 0.3914, 0.3488)  5 O 2.00-2.23
Li (0.5743, 0.9484, 0.6487)  4 O 2.00-2.09
Li (0.8411, 0.7044, 0.8454)  4 O 1.96-2.06
Li (0.8250, 0.9565, 0.1552)  4 O 2.00-2.10
V (0.0000, 0.5032, 0.0042)  6 O 1.87-2.03
V (0.3324, 0.3351, 0.5013)  6 O 1.97-2.12
V (0.0036, 0.9987, 0.4964)  6 O 2.00-2.10
V (0.6666, 0.1677, 0.0002)  6 O 1.98-2.11
V (0.3332, 0.8325, 0.0033)  6 O 1.87-2.05
V (0.6632, 0.6664, 0.4909)  4 O 1.82-2.00
P (0.1747, 0.0222, 0.2324)  4 O 1.53-1.57
P (0.1583, 0.3164, 0.7699)  4 O 1.53-1.59
P (0.4041, 0.0597, 0.7366)  4 O 1.54-1.56
P (0.0727, 0.7235, 0.7370)  4 O 1.51-1.60
P (0.2552, 0.6117, 0.2613)  4 O 1.53-1.56
P (0.5084, 0.3603, 0.2360)  4 O 1.52-1.60
P (0.4921, 0.6495, 0.7659)  4 O 1.54-1.56
P (0.7419, 0.3945, 0.7373)  4 O 1.54-1.57
P (0.9296, 0.2754, 0.2622)  4 O 1.53-1.56
P (0.5953, 0.9422, 0.2680)  4 O 1.54-1.58
P (0.8399, 0.6868, 0.2283)  4 O 1.54-1.57
P (0.8235, 0.9744, 0.7532)  4 O 1.51-1.59
H (0.9969, 0.4795, 0.4908)  1 O 1.06
H (0.3220, 0.3354, 0.9945)  1 O 1.07
H (0.3215, 0.8216, 0.4841)  1 O 1.07
H (0.6759, 0.1902, 0.5173)  1 O 1.04
H (0.6530, 0.6679, 0.9884)  1 O 1.06
H (0.9858, 0.9899, 0.9805)  1 O 1.08
O (0.1096, 0.1615, 0.6716)  1 P 1.53
O (0.0734, 0.4014, 0.8303)  1 P 1.53
O (0.1002, 0.0366, 0.0509)  1 H 1.42, 1 P 1.54
O (0.0092, 0.3357, 0.1444)  1 P 1.56
O (0.2356, 0.2935, 0.9514)  1 H 1.07
O (0.2249, 0.1798, 0.3317)  1 P 1.56
O (0.0719, 0.6115, 0.5737)  1 H 1.44, 1 P 1.51
O (0.2249, 0.4008, 0.6537)  1 P 1.54
O (0.3863, 0.2111, 0.6975)  1 P 1.54
O (0.0536, 0.8718, 0.6925)  1 P 1.53
O (0.5243, 0.0694, 0.8426)  1 P 1.56
O (0.1950, 0.7477, 0.8583)  1 P 1.60
O (0.1340, 0.5978, 0.1550)  1 P 1.56
O (0.2712, 0.4633, 0.3099)  1 P 1.53
O (0.4458, 0.2748, 0.3571)  1 P 1.55
O (0.1150, 0.9424, 0.3584)  1 P 1.53
O (0.2733, 0.7156, 0.4471)  1 H 1.07
O (0.5951, 0.0498, 0.4387)  1 H 1.52, 1 P 1.54
O (0.4446, 0.4944, 0.6642)  1 P 1.54
O (0.7294, 0.0450, 0.8044)  1 P 1.53
O (0.3983, 0.7263, 0.8113)  1 P 1.54
O (0.4349, 0.3804, 0.0604)  1 H 1.40, 1 P 1.52
O (0.6738, 0.0012, 0.1501)  1 P 1.55
O (0.3312, 0.6692, 0.1403)  1 P 1.54
O (0.6597, 0.3345, 0.8477)  1 P 1.54
O (0.3262, 0.0003, 0.8581)  1 P 1.56
O (0.5671, 0.6294, 0.9458)  1 H 1.06
O (0.2721, 0.9478, 0.1888)  1 P 1.57
O (0.6063, 0.2920, 0.1944)  1 P 1.54
O (0.5604, 0.5143, 0.3590)  1 P 1.60
O (0.7298, 0.2883, 0.5535)  1 H 1.04
O (0.3917, 0.9567, 0.5552)  1 H 1.42, 1 P 1.54
O (0.5573, 0.7348, 0.6464)  1 P 1.56
O (0.8875, 0.0528, 0.6342)  1 P 1.51
O (0.7229, 0.5414, 0.6822)  1 P 1.54
O (0.8608, 0.4126, 0.8487)  1 P 1.55
O (0.4742, 0.9167, 0.1502)  1 P 1.58
O (0.8098, 0.2652, 0.1580)  1 P 1.55
O (0.9488, 0.1266, 0.3034)  1 P 1.53
O (0.6249, 0.7999, 0.3239)  1 P 1.54
O (0.7726, 0.6045, 0.3501)  1 P 1.57
O (0.9385, 0.3836, 0.4414)  1 H 1.06
O (0.7741, 0.8138, 0.6553)  1 P 1.58
O (0.7668, 0.7105, 0.0502)  1 H 1.40, 1 P 1.54
O (0.9940, 0.6695, 0.8606)  1 P 1.57
O (0.8984, 0.9532, 0.9382)  1 H 1.08
O (0.9245, 0.5943, 0.1804)  1 P 1.54
O (0.8925, 0.8393, 0.3329)  1 P 1.54